The following is a DFT calculation (GGA+U) of a geometry-optimized RbCr2GaO8 structure.

abc: 5.2837 5.2837 8.0821
angles: 90.00 90.00 120.00
Last column: nearest neighbours and their distance in Å.
Fractional coordinates of all 12 atoms:
1 Rb 0.0000 0.0000 0.0000  12 O 3.13-3.27
2 Cr 0.3333 0.6667 0.7109  4 O 1.63-1.68
3 Cr 0.6667 0.3333 0.2891  4 O 1.63-1.68
4 Ga 0.0000 0.0000 0.5000  6 O 1.98
5 O 0.0807 0.3321 0.6468  1 Cr 1.68
6 O 0.2514 0.9193 0.6468  1 Cr 1.68
7 O 0.3321 0.2514 0.3532  1 Cr 1.68
8 O 0.3333 0.6667 0.9124  1 Cr 1.63
9 O 0.6667 0.3333 0.0876  1 Cr 1.63
10 O 0.6679 0.7486 0.6468  1 Cr 1.68
11 O 0.7486 0.0807 0.3532  1 Cr 1.68
12 O 0.9193 0.6679 0.3532  1 Cr 1.68

Computed properties:
Raw total energy (eV per atom): -6.347
Magnetic moment (μB per formula unit): 0.0